# 1
LaV2Si2C (PBE, optimized geometry); SG = P4/mmm, No. 123; magnetic moment = 0.0 μB per cell; DOS(E_F) = 3.25 states/eV per cell; formation energy (no corrections) = -0.60 eV per atom
1.0
4.081 0.000 0.000
0.000 4.081 0.000
0.000 0.000 5.589
La V Si C
1 2 2 1
direct
0.000 0.000 0.000 La
0.000 0.500 0.500 V
0.500 0.000 0.500 V
0.500 0.500 0.225 Si
0.500 0.500 0.775 Si
0.000 0.000 0.500 C

# 2
NaPmSi2Au5 (PBE, optimized geometry); SG = P4/mmm, No. 123; magnetic moment = 0.0 μB per cell; DOS(E_F) = 3.96 states/eV per cell; formation energy (no corrections) = -0.23 eV per atom
1.0
4.625 0.000 0.000
0.000 4.625 0.000
0.000 0.000 10.065
Na Pm Si Au
1 1 2 5
direct
0.000 0.000 0.000 Na
0.000 0.000 0.500 Pm
0.500 0.500 0.265 Si
0.500 0.500 0.735 Si
0.000 0.500 0.209 Au
0.000 0.500 0.791 Au
0.500 0.000 0.209 Au
0.500 0.000 0.791 Au
0.500 0.500 0.500 Au

# 3
AcLa3 (PBE, optimized geometry); ΔH_f (0 K) = 0.03 eV per atom; SG = Pmm2, No. 25; magnetic moment = 0.0 μB per cell; DOS(E_F) = 6.84 states/eV per cell; E above lowest polymorph = 28 meV/atom
1.0
3.839 0.000 0.000
0.000 6.136 0.000
0.000 0.000 6.635
Ac La
1 3
direct
0.000 0.000 0.000 Ac
0.000 0.500 0.664 La
0.500 0.000 0.503 La
0.500 0.500 0.177 La

# 4
DyNbSe (PBE, optimized geometry); SG = Cmcm, No. 63; magnetic moment = 0.0 μB per cell; DOS(E_F) = 4.65 states/eV per cell; formation energy (no corrections) = -0.30 eV per atom
1.0
2.687 -8.318 0.000
2.687 8.318 0.000
0.000 0.000 3.268
Dy Nb Se
2 2 2
direct
0.113 0.887 0.750 Dy
0.887 0.113 0.250 Dy
0.284 0.716 0.750 Nb
0.716 0.284 0.250 Nb
0.407 0.593 0.250 Se
0.593 0.407 0.750 Se

# 5
SrTlI2Br (PBE, optimized geometry); SG = Cmcm, No. 63; magnetic moment = 0.0 μB per cell; DOS(E_F) = 0.00 states/eV per cell; formation energy (no corrections) = -1.40 eV per atom; E above lowest polymorph = 0 meV/atom
1.0
2.394 -7.818 0.000
2.394 7.818 0.000
0.000 0.000 11.250
Sr Tl I Br
2 2 4 2
direct
0.000 0.000 0.000 Sr
0.000 0.000 0.500 Sr
0.274 0.726 0.750 Tl
0.726 0.274 0.250 Tl
0.360 0.640 0.057 I
0.360 0.640 0.443 I
0.640 0.360 0.557 I
0.640 0.360 0.943 I
0.077 0.923 0.250 Br
0.923 0.077 0.750 Br

# 6
RbCd2Re (PBE, optimized geometry); ΔH_f (0 K) = 1.14 eV per atom; SG = I-42d, No. 122; magnetic moment = 5.4 μB per cell; DOS(E_F) = 4.20 states/eV per cell; E above lowest polymorph = 0 meV/atom
1.0
-2.881 2.881 9.299
2.881 -2.881 9.299
2.881 2.881 -9.299
Rb Cd Re
2 4 2
direct
0.000 0.000 0.000 Rb
0.750 0.250 0.500 Rb
0.373 0.125 0.748 Cd
0.375 0.627 0.752 Cd
0.377 0.625 0.252 Cd
0.875 0.623 0.248 Cd
0.250 0.750 0.500 Re
0.500 0.500 0.000 Re